No. 1
Pd2I3Br4: optimized geometry, GGA-PBE.

a = 12.860 Å, b = 14.174 Å, c = 14.174 Å
α = 54.15°, β = 35.84°, γ = 35.84°
Positions (direct):
Pd  0.667  0.220  0.386
Pd  0.833  0.614  0.780
Pd  0.333  0.780  0.614
Pd  0.167  0.386  0.220
I  0.129  0.964  0.249
I  0.371  0.751  0.036
I  0.871  0.036  0.751
I  0.629  0.249  0.964
I  0.250  0.521  0.479
I  0.750  0.479  0.521
Br  0.296  0.727  0.509
Br  0.204  0.491  0.273
Br  0.704  0.273  0.491
Br  0.796  0.509  0.727
Br  0.316  0.897  0.703
Br  0.184  0.297  0.103
Br  0.684  0.103  0.297
Br  0.816  0.703  0.897

Uncorrected formation energy = -91 meV/atom
Energy = -2.51 eV/atom
Spin magnetization = 0.0 Bohr magnetons per cell
Symmetry = C2/c (15)
Mass density = 3.5 g/cm3

No. 2
PdI4Br: optimized geometry, GGA-PBE.

a = 8.373 Å, b = 3.880 Å, c = 9.817 Å
α = 112.46°, β = 94.07°, γ = 89.88°
Positions (direct):
Pd  0.005  0.497  0.501
I  0.212  0.055  0.562
I  0.799  0.939  0.440
I  0.822  0.977  0.969
I  0.160  0.039  0.033
Br  0.491  0.010  0.002

Uncorrected formation energy = -73 meV/atom
Energy = -2.25 eV/atom
Spin magnetization = 0.0 Bohr magnetons per cell
Symmetry = P1 (1)
Mass density = 3.9 g/cm3

No. 3
PdI3Br: optimized geometry, GGA-PBE.

a = 13.210 Å, b = 5.102 Å, c = 18.561 Å
α = 128.94°, β = 90.00°, γ = 90.00°
Positions (direct):
Pd  0.077  0.631  0.399
Pd  0.923  0.369  0.601
Pd  0.577  0.369  0.101
Pd  0.423  0.631  0.899
I  0.114  0.195  0.564
I  0.886  0.805  0.436
I  0.614  0.805  0.936
I  0.386  0.195  0.064
I  0.403  0.778  0.471
I  0.597  0.222  0.529
I  0.903  0.222  0.029
I  0.097  0.778  0.971
I  0.754  0.635  0.164
I  0.246  0.365  0.836
I  0.254  0.365  0.336
I  0.746  0.635  0.664
Br  0.950  0.913  0.757
Br  0.050  0.087  0.243
Br  0.450  0.087  0.743
Br  0.550  0.913  0.257

Uncorrected formation energy = -122 meV/atom
Energy = -2.43 eV/atom
Spin magnetization = 0.0 Bohr magnetons per cell
Symmetry = P2_1/c (14)
Mass density = 3.9 g/cm3

No. 4
Pd2IBr: optimized geometry, GGA-PBE.

a = 4.917 Å, b = 4.917 Å, c = 4.917 Å
α = 60.00°, β = 60.00°, γ = 60.00°
Positions (direct):
I  0.500  0.500  0.500
Br  0.000  0.000  0.000
Pd  0.250  0.250  0.250
Pd  0.750  0.750  0.750

Uncorrected formation energy = 307 meV/atom
Energy = -3.10 eV/atom
Spin magnetization = 0.0 Bohr magnetons per cell
Symmetry = Fm-3m (225)
Mass density = 8.3 g/cm3